TeI (PBE, optimized geometry); space-group type = P1; size of the total moment = 0.0 μB/cell; calculated total energy = -18.824 eV for the cell shown; relative energy among the computed polymorphs = 0.065 eV/atom; calculated volume = 48.27 A^3/atom; energy relative to the elements, uncorrected = -0.0071 eV per atom
1.0
6.293 0.000 0.000
2.331 6.968 0.000
3.115 2.571 8.806
Te I
4 4
Direct
0.000 0.000 0.000 Te
0.011 0.895 0.736 Te
0.552 0.196 0.092 Te
0.981 0.462 0.890 Te
0.113 0.445 0.564 I
0.361 0.871 0.289 I
0.593 0.123 0.666 I
0.992 0.458 0.191 I

TeI (PBE, optimized geometry); space-group type = P2_1/m; size of the total moment = 0.0 μB/cell; calculated total energy = -8.940 eV for the cell shown; relative energy among the computed polymorphs = 0.183 eV/atom; calculated volume = 44.03 A^3/atom; energy relative to the elements, uncorrected = 0.1109 eV per atom
1.0
4.634 0.000 0.000
0.000 4.573 0.000
-2.161 0.000 8.310
Te I
2 2
Direct
0.241 0.250 0.481 Te
0.759 0.750 0.519 Te
0.398 0.250 0.815 I
0.602 0.750 0.185 I

TeI (PBE, optimized geometry); space-group type = C2/m; size of the total moment = 0.0 μB/cell; calculated total energy = -8.908 eV for the cell shown; relative energy among the computed polymorphs = 0.191 eV/atom; calculated volume = 47.41 A^3/atom; energy relative to the elements, uncorrected = 0.1189 eV per atom
1.0
6.566 -2.062 0.000
6.566 2.062 0.000
-4.691 0.000 7.004
Te I
2 2
Direct
0.166 0.166 0.359 Te
0.834 0.834 0.641 Te
0.094 0.094 0.858 I
0.906 0.906 0.142 I

TeI3 (PBE, optimized geometry); space-group type = Imm2; size of the total moment = 0.0 μB/cell; calculated total energy = -7.406 eV for the cell shown; relative energy among the computed polymorphs = 0.000 eV/atom; calculated volume = 44.56 A^3/atom; energy relative to the elements, uncorrected = 0.0965 eV per atom
1.0
-2.031 5.261 4.169
2.031 -5.261 4.169
2.031 5.261 -4.169
Te I
1 3
Direct
0.000 0.000 0.000 Te
0.135 0.431 0.705 I
0.344 0.844 0.500 I
0.726 0.431 0.295 I